Entry from Alexandria via LeMat-Bulk: crystalline Mo3OsW at its relaxed geometry (PBE).

Unit cell a=4.6579 b=4.6579 c=4.6579 alpha=90.00 beta=90.00 gamma=90.00
Sites, in units of the cell vectors:
1 Mo 0.0000 0.5000 0.0000
2 Mo 0.0000 0.0000 0.5000
3 Mo 0.5000 0.0000 0.0000
4 Os 0.0000 0.0000 0.0000
5 W 0.5000 0.5000 0.5000

Output
For the formation energy from the elements, the calculation gives 1943.9 meV per atom. Its space group is No. 221. Its energy above the most stable polymorph in this dataset is 0.000 eV per formula unit. The density is 10.88 g cm⁻³. The calculation puts the raw total energy at -9.39 eV/atom.